The following is a DFT calculation (PBE-GGA) of an optimized crystal structure of TcIr2Au.

Values from the calculation:
Energy of formation ... 1.36 eV/f.u.
SG ... No. 44

a = 5.700 Å, b = 5.700 Å, c = 5.700 Å
α = 152.09°, β = 131.99°, γ = 56.45°
Element x y z (fractional)
Tc: 0.000 0.000 0.000
Ir: 0.555 0.555 0.000
Ir: 0.784 0.284 0.500
Au: 0.278 0.778 0.500